Entry 1
# AlCd2Bi PBE-GGA relaxed
# V ... 101.5 Å³/f.u.
# DOS at the Fermi energy ... 0.405 states/eV/atom
# Crystal system ... cubic
data_AlCd2Bi
_chemical_formula_sum 'Al4 Cd8 Bi4'
_space_group_name_H-M_alt 'F m -3 m'
_space_group_IT_number 225
_space_group_name_Hall '-F 4 2 3'
_cell_length_a 7.404
_cell_length_b 7.404
_cell_length_c 7.404
_cell_angle_alpha 90.00
_cell_angle_beta 90.00
_cell_angle_gamma 90.00
loop_
_atom_site_label
_atom_site_fract_x
_atom_site_fract_y
_atom_site_fract_z
Al1 0.000 0.000 0.000
Cd1 0.250 0.250 0.250
Bi1 0.000 0.000 0.500



Entry 2
# AlCd2Bi PBE-GGA relaxed
# V ... 98.1 Å³/f.u.
# DOS at the Fermi energy ... 0.414 states/eV/atom
# Crystal system ... tetragonal
data_AlCd2Bi
_chemical_formula_sum 'Al1 Cd2 Bi1'
_space_group_name_H-M_alt 'P 4/m m m'
_space_group_IT_number 123
_space_group_name_Hall '-P 4 2'
_cell_length_a 3.715
_cell_length_b 3.715
_cell_length_c 7.107
_cell_angle_alpha 90.00
_cell_angle_beta 90.00
_cell_angle_gamma 90.00
loop_
_atom_site_label
_atom_site_fract_x
_atom_site_fract_y
_atom_site_fract_z
Al1 0.000 0.000 0.000
Cd1 0.500 0.500 0.215
Bi1 0.000 0.000 0.500



Most stable structure - entry 2; separation to the second - 1.5 kJ/mol of atoms.



Entry 1
# AlCd2Bi PBE-GGA relaxed
# V ... 103.4 Å³/f.u.
# DOS at the Fermi energy ... 0.531 states/eV/atom
# Crystal system ... tetragonal
data_AlCd2Bi
_chemical_formula_sum 'Al4 Cd8 Bi4'
_space_group_name_H-M_alt 'I -4 2 d'
_space_group_IT_number 122
_space_group_name_Hall 'I -4 2bw'
_cell_length_a 8.299
_cell_length_b 8.299
_cell_length_c 6.008
_cell_angle_alpha 90.00
_cell_angle_beta 90.00
_cell_angle_gamma 90.00
loop_
_atom_site_label
_atom_site_fract_x
_atom_site_fract_y
_atom_site_fract_z
Al1 0.000 0.000 0.000
Cd1 0.225 0.750 0.125
Bi1 0.000 0.000 0.500



Entry 2
# AlCd2Bi PBE-GGA relaxed
# V ... 105.1 Å³/f.u.
# DOS at the Fermi energy ... 0.367 states/eV/atom
# Crystal system ... trigonal
data_AlCd2Bi
_chemical_formula_sum 'Al3 Cd6 Bi3'
_space_group_name_H-M_alt 'R 3 m'
_space_group_IT_number 160
_space_group_name_Hall 'R 3 -2"'
_cell_length_a 4.6360
_cell_length_b 4.6360
_cell_length_c 16.9374
_cell_angle_alpha 90.00
_cell_angle_beta 90.00
_cell_angle_gamma 120.00
loop_
_atom_site_label
_atom_site_fract_x
_atom_site_fract_y
_atom_site_fract_z
Al1 0.0000 0.0000 0.0000
Cd1 0.0000 0.0000 0.3896
Cd2 0.0000 0.0000 0.5930
Bi1 0.0000 0.0000 0.8256



Most stable structure - entry 2; separation to the second - 4.8 kJ/mol of atoms.



Entry 1
# AlCdBi3 PBE-GGA relaxed
# V ... 167.1 Å³/f.u.
# DOS at the Fermi energy ... 0.680 states/eV/atom
# Crystal system ... cubic
data_AlCdBi3
_chemical_formula_sum 'Al1 Cd1 Bi3'
_space_group_name_H-M_alt 'P m -3 m'
_space_group_IT_number 221
_space_group_name_Hall '-P 4 2 3'
_cell_length_a 5.508
_cell_length_b 5.508
_cell_length_c 5.508
_cell_angle_alpha 90.00
_cell_angle_beta 90.00
_cell_angle_gamma 90.00
loop_
_atom_site_label
_atom_site_fract_x
_atom_site_fract_y
_atom_site_fract_z
Al1 0.000 0.000 0.000
Cd1 0.500 0.500 0.500
Bi1 0.000 0.000 0.500



Entry 2
# AlCdBi3 PBE-GGA relaxed
# V ... 186.0 Å³/f.u.
# DOS at the Fermi energy ... 0.795 states/eV/atom
# Crystal system ... cubic
data_AlCdBi3
_chemical_formula_sum 'Al1 Cd1 Bi3'
_space_group_name_H-M_alt 'P m -3 m'
_space_group_IT_number 221
_space_group_name_Hall '-P 4 2 3'
_cell_length_a 5.708
_cell_length_b 5.708
_cell_length_c 5.708
_cell_angle_alpha 90.00
_cell_angle_beta 90.00
_cell_angle_gamma 90.00
loop_
_atom_site_label
_atom_site_fract_x
_atom_site_fract_y
_atom_site_fract_z
Al1 0.000 0.000 0.000
Cd1 0.500 0.500 0.500
Bi1 0.000 0.500 0.500



Most stable structure - entry 1; separation to the second - 24.4 kJ/mol of atoms.



Entry 1
# AlCdBi PBE-GGA relaxed
# V ... 74.8 Å³/f.u.
# DOS at the Fermi energy ... 0.387 states/eV/atom
# Crystal system ... tetragonal
data_AlCdBi
_chemical_formula_sum 'Al2 Cd2 Bi2'
_space_group_name_H-M_alt 'I 4 m m'
_space_group_IT_number 107
_space_group_name_Hall 'I 4 -2'
_cell_length_a 3.363
_cell_length_b 3.363
_cell_length_c 13.229
_cell_angle_alpha 90.00
_cell_angle_beta 90.00
_cell_angle_gamma 90.00
loop_
_atom_site_label
_atom_site_fract_x
_atom_site_fract_y
_atom_site_fract_z
Al1 0.000 0.000 0.000
Cd1 0.000 0.000 0.639
Bi1 0.000 0.000 0.332



Entry 2
# AlCdBi PBE-GGA relaxed
# V ... 81.1 Å³/f.u.
# DOS at the Fermi energy ... 0.317 states/eV/atom
# Crystal system ... trigonal
data_AlCdBi
_chemical_formula_sum 'Al1 Cd1 Bi1'
_space_group_name_H-M_alt 'P 3 m 1'
_space_group_IT_number 156
_cell_length_a 4.1592
_cell_length_b 4.1592
_cell_length_c 5.4145
_cell_angle_alpha 90.00
_cell_angle_beta 90.00
_cell_angle_gamma 120.00
loop_
_space_group_symop_operation_xyz
'x,y,z'
'-y,x-y,z'
'-x+y,-x,z'
'-y,-x,z'
'-x+y,y,z'
'x,x-y,z'
loop_
_atom_site_label
_atom_site_fract_x
_atom_site_fract_y
_atom_site_fract_z
Al1 0.0000 0.0000 0.0000
Cd1 0.6667 0.3333 0.3045
Bi1 0.3333 0.6667 0.7088



Entry 3
# AlCdBi PBE-GGA relaxed
# V ... 76.6 Å³/f.u.
# DOS at the Fermi energy ... 0.231 states/eV/atom
# Crystal system ... monoclinic
data_AlCdBi
_chemical_formula_sum 'Al2 Cd2 Bi2'
_space_group_name_H-M_alt 'P 1 21/m 1'
_space_group_IT_number 11
_cell_length_a 4.605
_cell_length_b 3.946
_cell_length_c 8.731
_cell_angle_alpha 90.00
_cell_angle_beta 105.07
_cell_angle_gamma 90.00
loop_
_space_group_symop_operation_xyz
'x,y,z'
'-x,-y,-z'
'-x,y+1/2,-z'
'x,-y+1/2,z'
loop_
_atom_site_label
_atom_site_fract_x
_atom_site_fract_y
_atom_site_fract_z
Al1 0.056 0.250 0.120
Cd1 0.433 0.250 0.862
Bi1 0.189 0.750 0.387



Most stable structure - entry 3; separation to the second - 6.2 kJ/mol of atoms.